# 1
## BaIn12Cu6 (PBE)

Data for an optimized crystal structure of BaIn12Cu6.

The structure in POSCAR format:
```
BaIn12Cu6
1.0
6.315 3.646 3.167
-6.315 3.646 3.167
0.000 -7.292 3.167
Ba In Cu
1 12 6
Cartesian
0.000 0.000 0.000
-2.385 -4.132 4.751
-4.771 0.000 4.751
-1.631 -0.942 3.248
1.631 -0.942 3.248
0.000 1.883 3.248
2.385 -4.132 4.751
-2.385 4.132 4.751
0.000 -1.883 6.254
-1.631 0.942 6.254
1.631 0.942 6.254
4.771 0.000 4.751
2.385 4.132 4.751
0.000 -3.204 3.852
-2.775 1.602 3.852
-2.775 -1.602 5.650
2.775 1.602 3.852
2.775 -1.602 5.650
0.000 3.204 5.650
```

Properties
The magnetization is 0.00 μB per formula unit. The electronic total energy is -3.140 eV/atom. The theoretical density comes out at 7.196 g/cm3.



# 2
## Ba2In3Cu2 (PBE)

Data for an optimized crystal structure of Ba2In3Cu2.

The structure in POSCAR format:
```
Ba2In3Cu2
1.0
4.546 0.000 0.000
-2.273 6.153 0.000
-2.239 -1.593 6.975
Ba In Cu
2 3 2
Cartesian
0.011 -0.402 1.876
0.024 4.962 5.099
-2.256 2.280 3.488
-2.238 2.460 6.574
2.273 2.100 0.402
0.014 2.970 2.134
0.022 1.590 4.842
```

Properties
The magnetization is 0.00 μB per formula unit. The electronic total energy is -3.115 eV/atom. The theoretical density comes out at 6.350 g/cm3.



# 3
## Ba2InCu (PBE)

Data for an optimized crystal structure of Ba2InCu.

The structure in POSCAR format:
```
Ba2InCu
1.0
-4.578 4.578 3.693
4.578 -4.578 3.693
4.578 4.578 -3.693
Ba In Cu
4 2 2
Cartesian
6.867 1.846 -0.923
1.846 2.289 0.923
-2.289 2.732 2.770
2.732 2.289 4.616
4.578 0.000 1.846
0.000 0.000 3.693
0.000 0.000 0.000
0.000 4.578 1.846
```

Properties
The magnetization is 0.00 μB per formula unit. The electronic total energy is -2.571 eV/atom. The theoretical density comes out at 4.861 g/cm3.